## TbMg2Tl (GGA-PBE)

Data for TbMg2Tl after structural relaxation.

Cell lengths 4.868, 6.257, 6.661 Å; angles 90.00, 90.00, 90.00 degrees
Element x y z (fractional)
Mg 0.000 0.255 0.863
Mg 0.500 0.755 0.137
Mg 0.500 0.245 0.137
Mg 0.000 0.745 0.863
Tl 0.000 0.500 0.281
Tl 0.500 0.000 0.719
Tb 0.500 0.500 0.596
Tb 0.000 0.000 0.404

Output
The value obtained for the total energy is -2.73 eV/atom. As for the energy above the most stable polymorph in this dataset: 37 meV/atom. Its volume is 25.4 Å³ per atom. The symmetry is Pmmn (59). The density of states at the Fermi level comes out at 0.64 states/eV per atom. The value obtained for the energy relative to the elements is -17.7 kJ per mole of atoms.